Entry 1:
DFT (PBE) results for a relaxed Tb2Ho7Th2 crystal.

The structure belongs to space group C2/m (No. 12); the cell edges are 11.270, 11.486 and 5.982 Å and the angles 90.00°, 113.57° and 90.00°. The asymmetric unit holds Tb at (0.235, 0.000, 0.088), Ho at (0.000, 0.000, 0.500), Ho at (0.091, 0.500, 0.305), Ho at (0.174, 0.233, 0.667) and Th at (0.000, 0.213, 0.000).

For the total energy, the calculation gives -4.92 eV per atom. For the formation energy, the calculation gives 2.0 eV per formula unit. The energy relative to the lowest polymorph listed for this composition comes out at 5.7 meV/atom.



Entry 2:
DFT (PBE) results for a relaxed MnSbTe2 crystal.

The structure belongs to space group Imm2 (No. 44); the cell edges are 3.655, 4.883 and 12.252 Å and the angles 90.00°, 90.00° and 90.00°. The asymmetric unit holds Mn at (0.000, 0.000, 0.000), Sb at (0.000, 0.500, 0.319), Te at (0.000, 0.000, 0.470) and Te at (0.000, 0.500, 0.665).

For the total energy, the calculation gives -4.78 eV per atom. Its uncorrected formation energy is 0.11 eV/atom.



Entry 3:
DFT (PBE) results for a relaxed LaNpSe2O crystal.

The structure belongs to space group P4/nmm (No. 129, origin choice 2); the cell edges are 4.089, 4.089 and 14.788 Å and the angles 90.00°, 90.00° and 90.00°. The asymmetric unit holds La at (0.250, 0.250, 0.129), Np at (0.250, 0.250, 0.576), Se at (0.250, 0.250, 0.325), Se at (0.250, 0.250, 0.910) and O at (0.250, 0.750, 0.500).

For the total energy, the calculation gives -8.08 eV per atom. Its uncorrected formation energy is -2.13 eV/atom.



Entry 4:
DFT (PBE) results for a relaxed LaTbPtRh crystal.

The structure belongs to space group Amm2 (No. 38); the cell edges are 4.500, 3.873 and 10.671 Å and the angles 90.00°, 90.00° and 90.00°. The asymmetric unit holds La at (0.000, 0.000, 0.000), Tb at (0.500, 0.000, 0.281), Pt at (0.500, 0.000, 0.562) and Rh at (0.000, 0.000, 0.741).

For the total energy, the calculation gives -6.75 eV per atom. For the formation energy, the calculation gives -4.0 eV per formula unit. The energy relative to the lowest polymorph listed for this composition comes out at 0.0 meV/atom.



Number 1: M_tot 0.00 μB/cell. Number 2: M_tot 7.39 μB/cell. Number 3: M_tot 7.39 μB/cell. Number 4: M_tot 0.00 μB/cell.